No. 1
7
Lattice="-2.030 2.030 7.985 2.030 -2.030 7.985 2.030 2.030 -7.985" Properties=species:S:1:pos:R:3 comment="ZrCd2Pt4 | Alexandria via LeMat-Bulk | GGA-PBE | optimized geometry" delta_e_f_kj_per_mol_atoms=-46.9 spacegroup="No. 139" pbc="T T T"
Zr 0.000 0.000 0.000
Cd 0.000 0.000 4.092
Cd 0.000 0.000 11.878
Pt 2.030 0.000 1.872
Pt 2.030 0.000 6.113
Pt 0.000 2.030 1.872
Pt 0.000 2.030 6.113

=====

No. 2
10
Lattice="8.003 0.000 0.000 0.000 8.003 0.000 0.000 0.000 2.945" Properties=species:S:1:pos:R:3 comment="ZrCd2Pt2 | Alexandria via LeMat-Bulk | GGA-PBE | optimized geometry" delta_e_f_kj_per_mol_atoms=-32.4 spacegroup="No. 127" relative_energy_mev_per_atom=103.1 pbc="T T T"
Zr 0.000 0.000 0.000
Zr 4.002 4.002 0.000
Cd 0.978 3.024 0.000
Cd 3.024 7.025 0.000
Cd 4.979 0.978 0.000
Cd 7.025 4.979 0.000
Pt 1.422 5.424 1.472
Pt 2.579 1.422 1.472
Pt 5.424 6.581 1.472
Pt 6.581 2.579 1.472

=====

No. 3
4
Lattice="2.993 0.000 0.000 0.000 4.297 0.000 0.000 0.000 5.682" Properties=species:S:1:pos:R:3 comment="ZrCdPt2 | Alexandria via LeMat-Bulk | GGA-PBE | optimized geometry" delta_e_f_kj_per_mol_atoms=-51.9 spacegroup="No. 25" pbc="T T T"
Zr 0.000 0.000 0.000
Cd 1.496 2.148 1.767
Pt 0.000 0.000 2.868
Pt 1.496 2.148 4.569